Compound: Er12Sc5In2
Source: the Alexandria database
Functional: GGA-PBE
Structure: relaxed

Structure (POSCAR):
```
Er12Sc5In2
1.0
7.401 -4.506 0.000
7.401 4.506 0.000
-0.127 0.000 8.145
Er Sc In
12 5 2
direct
0.055 0.055 0.326
0.076 0.675 0.345
0.161 0.533 0.762
0.325 0.924 0.655
0.410 0.410 0.115
0.467 0.839 0.238
0.533 0.161 0.762
0.590 0.590 0.885
0.675 0.076 0.345
0.839 0.467 0.238
0.924 0.325 0.655
0.945 0.945 0.674
0.188 0.188 0.006
0.265 0.265 0.419
0.500 0.500 0.500
0.735 0.735 0.581
0.812 0.812 0.994
0.178 0.822 0.000
0.822 0.178 0.000
```

Crystal system = monoclinic
Magnetization = 0.000 μB per cell
Calculated total energy = -4.816 eV per atom
Density of states at the Fermi level = 29.369 states/eV/f.u.